The following is a PBE+U calculation of a geometry-optimized Na2TiMnO structure, from the Alexandria database.

Calculated values
**Symmetry**: No. 123
**Calculated total energy**: -17.07 eV per formula unit
**Size of the total moment**: 1.31 μB/f.u.

Cell lengths 5.316, 5.316, 4.854 Å; angles 90.00, 90.00, 90.00 degrees
Element x y z (fractional)
Na  0.000  0.500  0.000
Na  0.500  0.000  0.000
Ti  0.000  0.000  0.500
Mn  0.000  0.000  0.000
O  0.500  0.500  0.500